(1)
Entry from the Alexandria database: a PBEsol-optimized structure of YHg2Sb (SCAN).

a = 4.0154 Å, b = 4.0154 Å, c = 6.2419 Å
α = 90.00°, β = 90.00°, γ = 90.00°
Fractional positions:
Hg 0.0000 0.0000 0.0317
Hg 0.5000 0.5000 0.2155
Sb 0.0000 0.0000 0.5312
Y 0.5000 0.5000 0.7216

Values from the calculation:
* spin magnetization: 0.00 μB per formula unit
* theoretical density: 10.1 Mg/m³
* formation energy without anion corrections: -0.45 eV/atom

=====

(2)
Entry from the Alexandria database: a PBEsol-optimized structure of SrHg2Pt2 (SCAN).

a = 4.3344 Å, b = 4.3344 Å, c = 6.7331 Å
α = 108.78°, β = 108.78°, γ = 90.00°
Fractional positions:
Sr 0.0000 0.0000 0.0000
Hg 0.2500 0.7500 0.5000
Hg 0.7500 0.2500 0.5000
Pt 0.3952 0.3952 0.7903
Pt 0.6048 0.6048 0.2097

Values from the calculation:
* E_form: -509 meV per atom
* spin magnetization: 0.00 μB per formula unit
* theoretical density: 13.0 Mg/m³

=====

(3)
Entry from the Alexandria database: a PBEsol-optimized structure of K2IrRuPb (SCAN).

a = 5.1029 Å, b = 5.8537 Å, c = 5.8537 Å
α = 90.00°, β = 90.00°, γ = 90.00°
Each line ends with the local moment (μB).
Fractional positions:
Pb 0.5000 0.0000 0.0000  -0.08
Ru 0.5000 0.5000 0.5000  2.77
K 0.0000 0.0000 0.5000  0.00
K 0.0000 0.5000 0.0000  0.00
Ir 0.0000 0.0000 0.0000  0.23

Values from the calculation:
* E_form: 1248 meV per atom
* spin magnetization: 3.26 μB per formula unit
* theoretical density: 5.5 Mg/m³

=====

(4)
Entry from the Alexandria database: a PBEsol-optimized structure of AlTlOs2 (SCAN).

a = 2.8786 Å, b = 5.0566 Å, c = 5.2522 Å
α = 118.14°, β = 104.89°, γ = 92.03°
Fractional positions:
Tl 0.5000 0.0000 0.0000
Os 0.0000 0.0000 0.5000
Os 0.5000 0.5000 0.5000
Al 0.0000 0.5000 0.0000

Values from the calculation:
* E_form: 681 meV per atom
* spin magnetization: 0.00 μB per formula unit
* excess energy over the best structure of this formula in the dataset: 265 meV/atom
* theoretical density: 15.9 Mg/m³

=====

(5)
Entry from the Alexandria database: a PBEsol-optimized structure of ZnAsRu2 (SCAN).

a = 2.9202 Å, b = 3.8811 Å, c = 5.6112 Å
α = 110.23°, β = 105.08°, γ = 90.00°
Fractional positions:
As 0.2806 0.7806 0.5612
Ru 0.9694 0.9694 0.9389
Ru 0.7151 0.2151 0.4303
Zn 0.5348 0.5348 0.0697

Values from the calculation:
* E_form: 7 meV per atom
* spin magnetization: 0.00 μB per formula unit
* excess energy over the best structure of this formula in the dataset: 0 meV/atom
* theoretical density: 9.9 Mg/m³

=====

(6)
Entry from the Alexandria database: a PBEsol-optimized structure of Sc2BeTe (SCAN).

a = 5.9927 Å, b = 5.9927 Å, c = 5.9927 Å
α = 105.29°, β = 105.29°, γ = 118.19°
Fractional positions:
Sc 0.8441 0.8750 0.4691
Sc 0.4059 0.3750 0.5309
Sc 0.1250 0.5941 0.9691
Sc 0.6250 0.1559 0.0309
Be 0.5000 0.5000 0.0000
Be 0.7500 0.2500 0.5000
Te 0.0000 0.0000 0.0000
Te 0.2500 0.7500 0.5000

Values from the calculation:
* spin magnetization: 0.00 μB per formula unit
* excess energy over the best structure of this formula in the dataset: 363 meV/atom
* theoretical density: 4.6 Mg/m³
* formation energy without anion corrections: -0.18 eV/atom